# Rb3La3NpSe8 | Alexandria via LeMat-Bulk | PBE | optimized geometry
data_Rb3La3NpSe8
_cell_length_a 8.8191
_cell_length_b 8.8191
_cell_length_c 24.3011
_cell_angle_alpha 90.00
_cell_angle_beta 90.00
_cell_angle_gamma 120.00
_space_group_name_H-M_alt 'R -3 m'
_space_group_IT_number 166
_space_group_name_Hall '-R 3 2"'
loop_
_atom_site_label
_atom_site_fract_x
_atom_site_fract_y
_atom_site_fract_z
Rb1 0.0000 0.5000 0.0000
La1 0.0000 0.5000 0.5000
Np1 0.0000 0.0000 0.5000
Se1 0.0000 0.0000 0.2337
Se2 0.0171 0.5086 0.2303
# - E_tot: -5.57 eV per atom
# - Raw formation energy: -160.7 kJ per mole of atoms
# - Crystal system: trigonal


# MnCrOs3 | Alexandria via LeMat-Bulk | PBE | optimized geometry
data_MnCrOs3
_cell_length_a 4.368
_cell_length_b 4.368
_cell_length_c 4.368
_cell_angle_alpha 90.00
_cell_angle_beta 90.00
_cell_angle_gamma 90.00
_space_group_name_H-M_alt 'P m -3 m'
_space_group_IT_number 221
_space_group_name_Hall '-P 4 2 3'
loop_
_atom_site_label
_atom_site_fract_x
_atom_site_fract_y
_atom_site_fract_z
Mn1 0.000 0.000 0.000
Cr1 0.500 0.500 0.500
Os1 0.000 0.000 0.500
# - E_tot: -8.58 eV per atom
# - Energy above the most stable polymorph in this dataset: 1802 meV per atom
# - Crystal system: cubic
# - Formation energy from the elements: 1.92 eV/atom